Compound: ZrPb3Au
Source: the Alexandria database
Functional: GGA-PBE
Structure: relaxed

Cell: 5.6677 5.6677 5.6677 Å, 90.00 90.00 90.00°
Last column: nearest neighbours and their distance in Å.
Element x y z (fractional)
1 Pb 0.0000 0.5000 0.0000  2 Zr 2.83
2 Pb 0.0000 0.0000 0.5000  2 Zr 2.83
3 Pb 0.5000 0.0000 0.0000  2 Zr 2.83
4 Au 0.5000 0.5000 0.5000  12 Pb 4.01
5 Zr 0.0000 0.0000 0.0000  6 Pb 2.83

Output
**DOS at the Fermi energy**: 5.66 states/eV per cell
**E**: -4.0070 eV per atom

=====

Compound: LaNi2Hg
Source: the Alexandria database
Functional: GGA-PBE
Structure: relaxed

Cell: 6.1573 6.1573 3.9427 Å, 71.34 71.34 35.47°
Last column: nearest neighbours and their distance in Å.
Element x y z (fractional)
1 Hg 0.5113 0.5113 0.4886  6 Ni 2.73-2.74
2 La 0.2684 0.2684 0.2318  6 Ni 2.88-3.22
3 Ni 0.0383 0.0383 0.9615  2 Ni 2.46, 4 Hg 2.74
4 Ni 0.6820 0.6820 0.8181  2 Ni 2.46, 2 Hg 2.73

Output
**DOS at the Fermi energy**: 3.31 states/eV per cell
**E**: -4.2766 eV per atom